# YHoZnRu

A geometry-optimized YHoZnRu structure (PBE, Alexandria via LeMat-Bulk).

For the total moment, the calculation gives 0.0 μB/f.u. The value obtained for the energy of formation from the pure elements is -35.16 kJ/mol of atoms. For the density of states at the Fermi level, the calculation gives 3.24 states/eV/f.u.

The structure belongs to space group F-43m (No. 216); the cell edges are 6.945, 6.945 and 6.945 Å and the angles 90.00°, 90.00° and 90.00°. Symmetry generates all atoms from Y at (0.000, 0.000, 0.000), Ho at (0.000, 0.000, 0.500), Zn at (0.250, 0.250, 0.750) and Ru at (0.250, 0.250, 0.250).

---

# BaMgZnIn2

A geometry-optimized BaMgZnIn2 structure (PBE, Alexandria via LeMat-Bulk).

For the total moment, the calculation gives 0.0 μB/f.u. The value obtained for the energy of formation from the pure elements is -26.81 kJ/mol of atoms. For the density of states at the Fermi level, the calculation gives 3.16 states/eV/f.u.

The structure belongs to space group I-4m2 (No. 119); the cell edges are 4.855, 4.855 and 12.034 Å and the angles 90.00°, 90.00° and 90.00°. Symmetry generates all atoms from Ba at (0.000, 0.000, 0.000), Mg at (0.000, 0.500, 0.250), Zn at (0.000, 0.500, 0.750) and In at (0.000, 0.000, 0.379).

---

# ZrGaGe2

A geometry-optimized ZrGaGe2 structure (PBE, Alexandria via LeMat-Bulk).

For the total moment, the calculation gives 0.0 μB/f.u. The value obtained for the energy of formation from the pure elements is -8.15 kJ/mol of atoms. For the density of states at the Fermi level, the calculation gives 2.16 states/eV/f.u.

The structure belongs to space group R-3m (No. 166, hexagonal axes); the cell edges are 3.1239, 3.1239 and 28.4876 Å and the angles 90.00°, 90.00° and 120.00°. Symmetry generates all atoms from Zr at (0.0000, 0.0000, 0.0000), Ga at (0.0000, 0.0000, 0.5000) and Ge at (0.0000, 0.0000, 0.4113).

---

# ZnIrOs2

A geometry-optimized ZnIrOs2 structure (PBE, Alexandria via LeMat-Bulk).

For the total moment, the calculation gives 0.0 μB/f.u. The value obtained for the energy of formation from the pure elements is 14.58 kJ/mol of atoms. For the density of states at the Fermi level, the calculation gives 2.65 states/eV/f.u.

The structure belongs to space group R-3m (No. 166, hexagonal axes); the cell edges are 2.7278, 2.7278 and 26.7217 Å and the angles 90.00°, 90.00° and 120.00°. Symmetry generates all atoms from Zn at (0.0000, 0.0000, 0.0000), Ir at (0.0000, 0.0000, 0.5000) and Os at (0.0000, 0.0000, 0.2497).